# 1
# Th4Zn2Cd5 | the Alexandria database | PBE-GGA | relaxed
# - Formation energy: -0.127 eV per atom
# - Crystal system: monoclinic
# - Density of states at the Fermi level: 0.844 states/eV/atom
data_Th4Zn2Cd5
_space_group_name_H-M_alt 'P 1 2/m 1'
_space_group_IT_number 10
_cell_length_a 8.102
_cell_length_b 3.358
_cell_length_c 10.362
_cell_angle_alpha 90.00
_cell_angle_beta 93.69
_cell_angle_gamma 90.00
loop_
_space_group_symop_operation_xyz
'x,y,z'
'-x,-y,-z'
'-x,y,-z'
'x,-y,z'
loop_
_atom_site_label
_atom_site_fract_x
_atom_site_fract_y
_atom_site_fract_z
Th1 0.152 0.000 0.374
Th2 0.265 0.000 0.952
Zn1 0.049 0.500 0.131
Cd1 0.205 0.500 0.665
Cd2 0.441 0.500 0.209
Cd3 0.500 0.500 0.500

=====

# 2
# BaSc2Co | the Alexandria database | PBE-GGA | relaxed
# - Formation energy: 0.606 eV per atom
# - Crystal system: tetragonal
# - Density of states at the Fermi level: 1.536 states/eV/atom
# - Energy above the lowest structure with this stoichiometry: 13.17 kcal/mol of atoms
data_BaSc2Co
_space_group_name_H-M_alt 'I -4 m 2'
_space_group_IT_number 119
_space_group_name_Hall 'I -4 -2'
_cell_length_a 5.109
_cell_length_b 5.109
_cell_length_c 7.453
_cell_angle_alpha 90.00
_cell_angle_beta 90.00
_cell_angle_gamma 90.00
loop_
_atom_site_label
_atom_site_fract_x
_atom_site_fract_y
_atom_site_fract_z
Ba1 0.000 0.000 0.000
Sc1 0.000 0.000 0.500
Sc2 0.000 0.500 0.250
Co1 0.000 0.500 0.750

=====

# 3
# AsPPtSe2 | the Alexandria database | PBE-GGA | relaxed
# - Crystal system: tetragonal
# - Density of states at the Fermi level: 1.206 states/eV/atom
# - Energy above the lowest structure with this stoichiometry: 1.10 kcal/mol of atoms
data_AsPPtSe2
_space_group_name_H-M_alt 'P 4/m m m'
_space_group_IT_number 123
_space_group_name_Hall '-P 4 2'
_cell_length_a 4.727
_cell_length_b 4.727
_cell_length_c 4.676
_cell_angle_alpha 90.00
_cell_angle_beta 90.00
_cell_angle_gamma 90.00
loop_
_atom_site_label
_atom_site_fract_x
_atom_site_fract_y
_atom_site_fract_z
As1 0.000 0.000 0.000
P1 0.000 0.000 0.500
Pt1 0.500 0.500 0.000
Se1 0.000 0.500 0.500

=====

# 4
# HfTl3Cr2Se6 | the Alexandria database | PBE-GGA | relaxed
# - Crystal system: monoclinic
# - Density of states at the Fermi level: 0.246 states/eV/atom
# - Raw total energy: -130.2 eV for the cell shown
data_HfTl3Cr2Se6
_space_group_name_H-M_alt 'C 1 2/m 1'
_space_group_IT_number 12
_cell_length_a 6.508
_cell_length_b 11.276
_cell_length_c 8.436
_cell_angle_alpha 90.00
_cell_angle_beta 104.91
_cell_angle_gamma 90.00
loop_
_space_group_symop_operation_xyz
'x,y,z'
'-x,-y,-z'
'-x,y,-z'
'x,-y,z'
'x+1/2,y+1/2,z'
'-x+1/2,-y+1/2,-z'
'-x+1/2,y+1/2,-z'
'x+1/2,-y+1/2,z'
loop_
_atom_site_label
_atom_site_fract_x
_atom_site_fract_y
_atom_site_fract_z
Hf1 0.000 0.000 0.000
Tl1 0.000 0.165 0.500
Tl2 0.000 0.500 0.500
Cr1 0.000 0.334 0.000
Se1 0.214 0.500 0.179
Se2 0.233 0.173 0.180

=====

# 5
# Y2ErZr | the Alexandria database | PBE-GGA | relaxed
# - Formation energy: 0.075 eV per atom
# - Crystal system: trigonal
# - Density of states at the Fermi level: 1.497 states/eV/atom
# - Energy above the lowest structure with this stoichiometry: 0.00 kcal/mol of atoms
data_Y2ErZr
_space_group_name_H-M_alt 'R 3 m'
_space_group_IT_number 160
_space_group_name_Hall 'R 3 -2"'
_cell_length_a 3.4758
_cell_length_b 3.4758
_cell_length_c 33.5068
_cell_angle_alpha 90.00
_cell_angle_beta 90.00
_cell_angle_gamma 120.00
loop_
_atom_site_label
_atom_site_fract_x
_atom_site_fract_y
_atom_site_fract_z
Y1 0.0000 0.0000 0.0000
Y2 0.0000 0.0000 0.1578
Er1 0.0000 0.0000 0.5785
Zr1 0.0000 0.0000 0.4127

=====

# 6
# AcDy4Er | the Alexandria database | PBE-GGA | relaxed
# - Formation energy: 0.051 eV per atom
# - Crystal system: tetragonal
# - Density of states at the Fermi level: 1.476 states/eV/atom
data_AcDy4Er
_space_group_name_H-M_alt 'P 4/m m m'
_space_group_IT_number 123
_space_group_name_Hall '-P 4 2'
_cell_length_a 3.619
_cell_length_b 3.619
_cell_length_c 15.260
_cell_angle_alpha 90.00
_cell_angle_beta 90.00
_cell_angle_gamma 90.00
loop_
_atom_site_label
_atom_site_fract_x
_atom_site_fract_y
_atom_site_fract_z
Ac1 0.000 0.000 0.000
Dy1 0.000 0.000 0.340
Dy2 0.500 0.500 0.180
Er1 0.500 0.500 0.500

=====

# 7
# Cd2HgHPt | the Alexandria database | PBE-GGA | relaxed
# - Crystal system: tetragonal
# - Density of states at the Fermi level: 0.405 states/eV/atom
# - Energy above the lowest structure with this stoichiometry: 0.00 kcal/mol of atoms
data_Cd2HgHPt
_space_group_name_H-M_alt 'P 4/m m m'
_space_group_IT_number 123
_space_group_name_Hall '-P 4 2'
_cell_length_a 5.429
_cell_length_b 5.429
_cell_length_c 3.424
_cell_angle_alpha 90.00
_cell_angle_beta 90.00
_cell_angle_gamma 90.00
loop_
_atom_site_label
_atom_site_fract_x
_atom_site_fract_y
_atom_site_fract_z
Cd1 0.000 0.500 0.000
Hg1 0.000 0.000 0.500
H1 0.500 0.500 0.500
Pt1 0.500 0.500 0.000

=====

# 8
# YVAs2N | the Alexandria database | PBE-GGA | relaxed
# - Crystal system: tetragonal
# - Density of states at the Fermi level: 1.292 states/eV/atom
# - Raw total energy: -31.9 eV for the cell shown
data_YVAs2N
_space_group_name_H-M_alt 'P 4/m m m'
_space_group_IT_number 123
_space_group_name_Hall '-P 4 2'
_cell_length_a 4.456
_cell_length_b 4.456
_cell_length_c 4.381
_cell_angle_alpha 90.00
_cell_angle_beta 90.00
_cell_angle_gamma 90.00
loop_
_atom_site_label
_atom_site_fract_x
_atom_site_fract_y
_atom_site_fract_z
Y1 0.000 0.000 0.000
V1 0.500 0.500 0.000
As1 0.000 0.500 0.500
N1 0.000 0.000 0.500

=====

# 9
# YBe2P | the Alexandria database | PBE-GGA | relaxed
# - Formation energy: -0.436 eV per atom
# - Crystal system: monoclinic
# - Density of states at the Fermi level: 0.227 states/eV/atom
data_YBe2P
_space_group_name_H-M_alt 'C 1 m 1'
_space_group_IT_number 8
_cell_length_a 6.884
_cell_length_b 3.566
_cell_length_c 5.198
_cell_angle_alpha 90.00
_cell_angle_beta 110.53
_cell_angle_gamma 90.00
loop_
_space_group_symop_operation_xyz
'x,y,z'
'x,-y,z'
'x+1/2,y+1/2,z'
'x+1/2,-y+1/2,z'
loop_
_atom_site_label
_atom_site_fract_x
_atom_site_fract_y
_atom_site_fract_z
Y1 0.000 0.000 0.000
Be1 0.033 0.500 0.559
Be2 0.246 0.000 0.626
P1 0.282 0.500 0.395

=====

# 10
# LiRuBr2 | the Alexandria database | PBE-GGA | relaxed
# - Crystal system: tetragonal
# - Density of states at the Fermi level: 0.600 states/eV/atom
# - Energy above the lowest structure with this stoichiometry: 3.82 kcal/mol of atoms
data_LiRuBr2
_space_group_name_H-M_alt 'P 4/m m m'
_space_group_IT_number 123
_space_group_name_Hall '-P 4 2'
_cell_length_a 4.682
_cell_length_b 4.682
_cell_length_c 3.226
_cell_angle_alpha 90.00
_cell_angle_beta 90.00
_cell_angle_gamma 90.00
loop_
_atom_site_label
_atom_site_fract_x
_atom_site_fract_y
_atom_site_fract_z
Li1 0.000 0.000 0.000
Ru1 0.500 0.500 0.000
Br1 0.000 0.500 0.500

=====

# 11
# Sr2TlHgPd6 | the Alexandria database | PBE-GGA | relaxed
# - Formation energy: 0.070 eV per atom
# - Crystal system: cubic
# - Density of states at the Fermi level: 0.553 states/eV/atom
data_Sr2TlHgPd6
_space_group_name_H-M_alt 'F m -3 m'
_space_group_IT_number 225
_space_group_name_Hall '-F 4 2 3'
_cell_length_a 10.232
_cell_length_b 10.232
_cell_length_c 10.232
_cell_angle_alpha 90.00
_cell_angle_beta 90.00
_cell_angle_gamma 90.00
loop_
_atom_site_label
_atom_site_fract_x
_atom_site_fract_y
_atom_site_fract_z
Sr1 0.250 0.250 0.250
Tl1 0.000 0.000 0.000
Hg1 0.000 0.000 0.500
Pd1 0.000 0.000 0.249

=====

# 12
# TcSbP2 | the Alexandria database | PBE-GGA | relaxed
# - Crystal system: tetragonal
# - Density of states at the Fermi level: 0.680 states/eV/atom
# - Raw total energy: -46.1 eV for the cell shown
data_TcSbP2
_space_group_name_H-M_alt 'I -4 m 2'
_space_group_IT_number 119
_space_group_name_Hall 'I -4 -2'
_cell_length_a 4.238
_cell_length_b 4.238
_cell_length_c 7.331
_cell_angle_alpha 90.00
_cell_angle_beta 90.00
_cell_angle_gamma 90.00
loop_
_atom_site_label
_atom_site_fract_x
_atom_site_fract_y
_atom_site_fract_z
Tc1 0.000 0.000 0.000
Sb1 0.000 0.500 0.250
P1 0.000 0.000 0.500
P2 0.000 0.500 0.750

=====

# 13
# NpIBrO | the Alexandria database | PBE-GGA | relaxed
# - Crystal system: monoclinic
# - Density of states at the Fermi level: 1.755 states/eV/atom
# - Raw total energy: -56.2 eV for the cell shown
data_NpIBrO
_space_group_name_H-M_alt 'C 1 m 1'
_space_group_IT_number 8
_cell_length_a 6.693
_cell_length_b 3.864
_cell_length_c 8.750
_cell_angle_alpha 90.00
_cell_angle_beta 104.89
_cell_angle_gamma 90.00
loop_
_space_group_symop_operation_xyz
'x,y,z'
'x,-y,z'
'x+1/2,y+1/2,z'
'x+1/2,-y+1/2,z'
loop_
_atom_site_label
_atom_site_fract_x
_atom_site_fract_y
_atom_site_fract_z
Np1 0.000 0.000 0.000
I1 0.239 0.000 0.718
Br1 0.417 0.000 0.249
O1 0.165 0.500 0.996